[1]
VASP calculation (PBE-GGA) on crystalline Li8Mg2Hg at its relaxed geometry.

It has space group C2/m (No. 12), with a = 15.479 Å, b = 4.563 Å, c = 6.056 Å, α = 90.00°, β = 97.57° and γ = 90.00°. The asymmetric unit holds Li at (0.034, 0.000, 0.242), Li at (0.090, 0.500, 0.942), Li at (0.143, 0.000, 0.662), Li at (0.171, 0.500, 0.406), Mg at (0.221, 0.000, 0.146) and Hg at (0.000, 0.500, 0.500).

Its energy relative to the elements is -0.114 eV/atom. The energy above the most stable polymorph in this dataset comes out at 0.00 eV per formula unit.


[2]
VASP calculation (PBE-GGA) on crystalline Li5Mg6Hg at its relaxed geometry.

It has space group Cmmm (No. 65), with a = 4.803 Å, b = 14.426 Å, c = 6.879 Å, α = 90.00°, β = 90.00° and γ = 90.00°. The asymmetric unit holds Li at (0.000, 0.000, 0.000), Li at (0.000, 0.331, 0.000), Li at (0.000, 0.338, 0.500), Mg at (0.000, 0.169, 0.253), Mg at (0.000, 0.500, 0.246) and Hg at (0.000, 0.000, 0.500).

Its energy relative to the elements is -0.120 eV/atom.


[3]
VASP calculation (PBE-GGA) on crystalline Li2Mg5Hg at its relaxed geometry.

It has space group P6_3/mmc (No. 194), with a = 4.8298 Å, b = 4.8298 Å, c = 17.8674 Å, α = 90.00°, β = 90.00° and γ = 120.00°. The asymmetric unit holds Li at (0.3333, 0.6667, 0.1039), Mg at (0.0000, 0.0000, 0.1579), Mg at (0.3333, 0.6667, 0.5541), Mg at (0.3333, 0.6667, 0.7500) and Hg at (0.3333, 0.6667, 0.2500).

Its energy relative to the elements is 0.011 eV/atom.